No. 1
# Al2GaH | Alexandria via LeMat-Bulk | PBE | optimized geometry
data_Al2GaH
_cell_length_a 4.0604
_cell_length_b 4.0604
_cell_length_c 16.6000
_cell_angle_alpha 90.00
_cell_angle_beta 90.00
_cell_angle_gamma 120.00
_space_group_name_H-M_alt 'R -3 m'
_space_group_IT_number 166
_space_group_name_Hall '-R 3 2"'
loop_
_atom_site_label
_atom_site_fract_x
_atom_site_fract_y
_atom_site_fract_z
Al1 0.0000 0.0000 0.1050
Ga1 0.0000 0.0000 0.5000
H1 0.0000 0.0000 0.0000
# Total magnetization, μB per atom: 0.000
# Total DFT energy (no corrections), eV per cell: -38.87

No. 2
# Tb3DyTl | Alexandria via LeMat-Bulk | PBE | optimized geometry
data_Tb3DyTl
_cell_length_a 4.8249
_cell_length_b 25.3848
_cell_length_c 4.8188
_cell_angle_alpha 90.00
_cell_angle_beta 90.00
_cell_angle_gamma 90.00
_space_group_name_H-M_alt 'C m c m'
_space_group_IT_number 63
_space_group_name_Hall '-C 2c 2'
loop_
_atom_site_label
_atom_site_fract_x
_atom_site_fract_y
_atom_site_fract_z
Tb1 0.0000 0.0492 0.2500
Tb2 0.0000 0.2499 0.2500
Tb3 0.0000 0.4481 0.2500
Dy1 0.0000 0.1496 0.7500
Tl1 0.0000 0.3473 0.7500
# Total magnetization, μB per atom: 0.000
# Total DFT energy (no corrections), eV per cell: -85.94
# Energy of formation, kJ/mol of formula units: -60

No. 3
# AlReP3 | Alexandria via LeMat-Bulk | PBE | optimized geometry
data_AlReP3
_cell_length_a 4.6605
_cell_length_b 4.6605
_cell_length_c 4.6605
_cell_angle_alpha 90.00
_cell_angle_beta 90.00
_cell_angle_gamma 90.00
_space_group_name_H-M_alt 'P m -3 m'
_space_group_IT_number 221
_space_group_name_Hall '-P 4 2 3'
loop_
_atom_site_label
_atom_site_fract_x
_atom_site_fract_y
_atom_site_fract_z
Al1 0.0000 0.0000 0.0000
Re1 0.5000 0.5000 0.5000
P1 0.0000 0.5000 0.5000
# Total magnetization, μB per atom: 0.000
# Total DFT energy (no corrections), eV per cell: -29.16
# Energy of formation, kJ/mol of formula units: 314

No. 4
# TlSbCl3 | Alexandria via LeMat-Bulk | PBE | optimized geometry
data_TlSbCl3
_cell_length_a 5.4583
_cell_length_b 5.4583
_cell_length_c 5.4583
_cell_angle_alpha 90.00
_cell_angle_beta 90.00
_cell_angle_gamma 90.00
_space_group_name_H-M_alt 'P m -3 m'
_space_group_IT_number 221
_space_group_name_Hall '-P 4 2 3'
loop_
_atom_site_label
_atom_site_fract_x
_atom_site_fract_y
_atom_site_fract_z
Tl1 0.0000 0.0000 0.0000
Sb1 0.5000 0.5000 0.5000
Cl1 0.0000 0.0000 0.5000
# Total magnetization, μB per atom: 0.414
# Total DFT energy (no corrections), eV per cell: -12.41

No. 5
# Pm2Al3InAu4 | Alexandria via LeMat-Bulk | PBE | optimized geometry
data_Pm2Al3InAu4
_cell_length_a 4.4468
_cell_length_b 4.4468
_cell_length_c 10.7493
_cell_angle_alpha 90.00
_cell_angle_beta 90.00
_cell_angle_gamma 90.00
_space_group_name_H-M_alt 'P -4 m 2'
_space_group_IT_number 115
loop_
_space_group_symop_operation_xyz
'x,y,z'
'y,-x,-z'
'-x,-y,z'
'-y,x,-z'
'-x,y,z'
'-y,-x,-z'
'x,-y,z'
'y,x,-z'
loop_
_atom_site_label
_atom_site_fract_x
_atom_site_fract_y
_atom_site_fract_z
Pm1 0.0000 0.5000 0.2408
Al1 0.0000 0.5000 0.8754
Al2 0.5000 0.5000 0.5000
In1 0.0000 0.0000 0.5000
Au1 0.0000 0.0000 0.0000
Au2 0.0000 0.5000 0.6457
Au3 0.5000 0.5000 0.0000
# Total magnetization, μB per atom: 0.000
# Total DFT energy (no corrections), eV per cell: -43.35
# Energy of formation, kJ/mol of formula units: -654

No. 6
# AgGeAs | Alexandria via LeMat-Bulk | PBE | optimized geometry
data_AgGeAs
_cell_length_a 4.7585
_cell_length_b 4.7585
_cell_length_c 2.9527
_cell_angle_alpha 90.00
_cell_angle_beta 90.00
_cell_angle_gamma 120.00
_space_group_name_H-M_alt 'P 3 m 1'
_space_group_IT_number 156
loop_
_space_group_symop_operation_xyz
'x,y,z'
'-y,x-y,z'
'-x+y,-x,z'
'-y,-x,z'
'-x+y,y,z'
'x,x-y,z'
loop_
_atom_site_label
_atom_site_fract_x
_atom_site_fract_y
_atom_site_fract_z
Ag1 0.0000 0.0000 0.0000
Ge1 0.6667 0.3333 0.4875
As1 0.3333 0.6667 0.4719
# Total magnetization, μB per atom: 0.000
# Total DFT energy (no corrections), eV per cell: -11.30
# Energy of formation, kJ/mol of formula units: 79

No. 7
# Sc3ZnC | Alexandria via LeMat-Bulk | PBE | optimized geometry
data_Sc3ZnC
_cell_length_a 5.2303
_cell_length_b 5.2303
_cell_length_c 15.2151
_cell_angle_alpha 90.00
_cell_angle_beta 90.00
_cell_angle_gamma 90.00
_space_group_name_H-M_alt 'I -4 m 2'
_space_group_IT_number 119
_space_group_name_Hall 'I -4 -2'
loop_
_atom_site_label
_atom_site_fract_x
_atom_site_fract_y
_atom_site_fract_z
Sc1 0.0000 0.0000 0.2251
Sc2 0.0000 0.2574 0.6034
Zn1 0.0000 0.5000 0.1434
C1 0.0000 0.0000 0.5000
C2 0.0000 0.5000 0.7500
# Total magnetization, μB per atom: 0.000
# Total DFT energy (no corrections), eV per cell: -111.92
# Energy of formation, kJ/mol of formula units: 146

No. 8
# Ac2CeSi3Rh4 | Alexandria via LeMat-Bulk | PBE | optimized geometry
data_Ac2CeSi3Rh4
_cell_length_a 4.3175
_cell_length_b 4.3175
_cell_length_c 10.7849
_cell_angle_alpha 90.00
_cell_angle_beta 90.00
_cell_angle_gamma 90.00
_space_group_name_H-M_alt 'P -4 m 2'
_space_group_IT_number 115
loop_
_space_group_symop_operation_xyz
'x,y,z'
'y,-x,-z'
'-x,-y,z'
'-y,x,-z'
'-x,y,z'
'-y,-x,-z'
'x,-y,z'
'y,x,-z'
loop_
_atom_site_label
_atom_site_fract_x
_atom_site_fract_y
_atom_site_fract_z
Ac1 0.0000 0.5000 0.2336
Ce1 0.0000 0.0000 0.5000
Si1 0.0000 0.5000 0.8839
Si2 0.5000 0.5000 0.5000
Rh1 0.0000 0.0000 0.0000
Rh2 0.0000 0.5000 0.6521
Rh3 0.5000 0.5000 0.0000
# Total magnetization, μB per atom: 0.000
# Total DFT energy (no corrections), eV per cell: -68.93

Look up the total DFT energy (no corrections) of the fourth one. -12.41 eV per cell

What is the formula in the second record? Tb3DyTl